A plane-wave DFT calculation with PBE was carried out for TlAsCl after structural relaxation.

Properties
Total DFT energy (no corrections) (eV per atom): -2.823
M_tot (μB per atom): 0.000
Calculated density (g/cm³): 7.2
Calculated volume (Å³ per atom): 24.2

Lattice parameters (Å, degrees): 3.4246 3.4246 7.1431 90.00 90.00 120.00
Closest atoms and distances in Å follow each position.
Space group P3m1 (No. 156)
Inequivalent atoms, fractional coordinates:
Tl 0.0000 0.0000 0.0000 [1 per cell]  3 Cl 3.16, 3 As 3.22, 6 Tl 3.42
As 0.6667 0.3333 0.3559 [1 per cell]  3 Cl 2.91, 3 Tl 3.22
Cl 0.3333 0.6667 0.6542 [1 per cell]  3 As 2.91, 3 Tl 3.16